No. 1
Computed, not measured: Zr2ReSn after structural relaxation at the PBE level of DFT.

Unit cell a=7.8510 b=7.8510 c=6.2486 alpha=51.08 beta=51.08 gamma=90.00
Last column: nearest neighbours and their distance in Å.
Fractional coordinates of all 8 atoms:
Sn1 0.2500 0.7500 0.5000  2 Re 2.87, 4 Zr 3.14
Sn2 0.5000 0.5000 0.0000  2 Re 2.87, 4 Zr 3.14
Zr1 0.6730 0.1250 0.2500  2 Re 2.62
Zr2 0.0770 0.6250 0.2500  2 Re 2.62
Zr3 0.3750 0.3270 0.7500  2 Re 2.62
Zr4 0.8750 0.9230 0.7500  2 Re 2.62
Re1 0.0000 0.0000 0.0000  4 Zr 2.62, 2 Sn 2.87
Re2 0.7500 0.2500 0.5000  4 Zr 2.62, 2 Sn 2.87

## Properties
**Energy relative to the elements**: 272 meV/atom
**ρ**: 9.16 Mg/m³

=====

No. 2
Computed, not measured: Dy4Ho3 after structural relaxation at the PBE level of DFT.

Unit cell a=3.5199 b=4.9887 c=12.7219 alpha=101.31 beta=97.95 gamma=90.00
Last column: nearest neighbours and their distance in Å.
Fractional coordinates of all 7 atoms:
Ho1 0.0000 0.5000 0.0000  4 Ho 3.52-3.53, 8 Dy 3.53
Ho2 0.1428 0.6428 0.2856  3 Ho 3.52-3.53, 9 Dy 3.53
Ho3 0.8572 0.3572 0.7144  3 Ho 3.52-3.53, 9 Dy 3.53
Dy1 0.5714 0.0714 0.1427  4 Dy 3.52-3.53, 8 Ho 3.53
Dy2 0.4286 0.9286 0.8573  4 Dy 3.52-3.53, 8 Ho 3.53
Dy3 0.7142 0.2142 0.4283  7 Dy 3.52-3.53, 5 Ho 3.53
Dy4 0.2858 0.7858 0.5717  7 Dy 3.52-3.53, 5 Ho 3.53

## Properties
**Energy relative to the elements**: 18 meV/atom
**ρ**: 8.77 Mg/m³

=====

No. 3
Computed, not measured: Ac2Pm2Pr3 after structural relaxation at the PBE level of DFT.

Unit cell a=3.7172 b=9.0773 c=9.3139 alpha=118.17 beta=101.51 gamma=90.00
Last column: nearest neighbours and their distance in Å.
Fractional coordinates of all 7 atoms:
Pm1 0.4342 0.0943 0.8685  3 Pm 3.56-3.72, 5 Pr 3.63-3.77, 4 Ac 3.83-3.85
Pm2 0.5658 0.9057 0.1315  3 Pm 3.56-3.72, 5 Pr 3.63-3.77, 4 Ac 3.83-3.85
Pr1 0.2110 0.8093 0.4219  5 Pr 3.51-3.72, 3 Pm 3.63-3.67, 2 Ac 3.86
Pr2 0.7890 0.1907 0.5781  5 Pr 3.51-3.72, 3 Pm 3.63-3.67, 2 Ac 3.86
Pr3 0.0000 0.5000 0.0000  4 Pr 3.51-3.72, 2 Ac 3.69, 4 Pm 3.77
Ac1 0.8552 0.6757 0.7104  4 Pr 3.69-3.96, 4 Ac 3.72-4.07, 4 Pm 3.83-3.85
Ac2 0.1448 0.3243 0.2896  4 Pr 3.69-3.96, 4 Ac 3.72-4.07, 4 Pm 3.83-3.85

## Properties
**Energy relative to the elements**: 94 meV/atom
**ρ**: 7.18 Mg/m³

=====

No. 4
Computed, not measured: YHoLuZn after structural relaxation at the PBE level of DFT.

Unit cell a=5.2914 b=5.2914 c=5.2914 alpha=60.00 beta=60.00 gamma=60.00
Last column: nearest neighbours and their distance in Å.
Fractional coordinates of all 4 atoms:
Y1 0.7500 0.7500 0.7500  4 Lu 3.24, 4 Zn 3.24
Lu1 0.5000 0.5000 0.5000  4 Ho 3.24, 4 Y 3.24
Ho1 0.2500 0.2500 0.2500  4 Zn 3.24, 4 Lu 3.24
Zn1 0.0000 0.0000 0.0000  4 Ho 3.24, 4 Y 3.24

## Properties
**Energy relative to the elements**: 26 meV/atom
**ρ**: 7.83 Mg/m³